# 1
DFT (PBE) results for crystalline Sr4Zr4O11 at its relaxed geometry.

Properties
The value obtained for the uncorrected energy is -8.096 eV/atom. The value obtained for the spin magnetization is 0.0 μB/f.u. The mass density comes out at 5.294 g/cm³. The space-group type is No. 6.

abc: 5.8077 8.2114 5.8630
angles: 90.00 90.07 90.00
Closest atoms and distances in Å follow each position.
Element x y z (fractional)
Sr1 0.0000 0.0000 0.0000  3 O 2.49-2.53
Sr2 0.0070 0.5000 0.9452  6 O 2.53-2.82
Sr3 0.4951 0.5000 0.4484  4 O 2.49-2.64
Sr4 0.5173 0.0000 0.5138  5 O 2.52-2.79
Zr1 0.0021 0.2495 0.4781  5 O 2.08-2.12
Zr2 0.0021 0.7505 0.4781  5 O 2.08-2.12
Zr3 0.5041 0.2489 0.9798  6 O 2.10-2.14
Zr4 0.5041 0.7511 0.9798  6 O 2.10-2.14
O1 0.2117 0.2855 0.1943  2 Zr 2.08-2.14
O2 0.2117 0.7145 0.1943  2 Zr 2.08-2.14
O3 0.2892 0.2882 0.6911  2 Zr 2.11-2.13
O4 0.2892 0.7118 0.6911  2 Zr 2.11-2.13
O5 0.4269 0.0000 0.9583  2 Zr 2.10
O6 0.5754 0.5000 0.0047  2 Zr 2.11
O7 0.7160 0.2090 0.2681  2 Zr 2.09-2.11
O8 0.7160 0.7910 0.2681  2 Zr 2.09-2.11
O9 0.7897 0.2125 0.7680  2 Zr 2.10-2.12
O10 0.7897 0.7875 0.7680  2 Zr 2.10-2.12
O11 0.9195 0.5000 0.5087  2 Zr 2.12


# 2
DFT (PBE) results for crystalline LaOs2 at its relaxed geometry.

Properties
The value obtained for the uncorrected energy is -9.171 eV/atom. The value obtained for the spin magnetization is 0.0 μB/f.u. The mass density comes out at 14.885 g/cm³. The space-group type is No. 227.

abc: 5.4724 5.4724 5.4724
angles: 60.00 60.00 60.00
Closest atoms and distances in Å follow each position.
Element x y z (fractional)
La1 0.1250 0.1250 0.1250  12 Os 3.21, 4 La 3.35
La2 0.8750 0.8750 0.8750  12 Os 3.21, 4 La 3.35
Os1 0.0000 0.5000 0.5000  6 Os 2.74
Os2 0.5000 0.0000 0.5000  6 Os 2.74
Os3 0.5000 0.5000 0.0000  6 Os 2.74
Os4 0.5000 0.5000 0.5000  6 Os 2.74


# 3
DFT (PBE) results for crystalline CsCd13 at its relaxed geometry.

Properties
The value obtained for the uncorrected energy is -0.968 eV/atom. The mass density comes out at 7.782 g/cm³. The space-group type is No. 226.

abc: 9.8723 9.8723 9.8723
angles: 60.00 60.00 60.00
Closest atoms and distances in Å follow each position.
Element x y z (fractional)
Cs1 0.2500 0.2500 0.2500  24 Cd 4.05
Cs2 0.7500 0.7500 0.7500  24 Cd 4.05
Cd1 0.0000 0.0000 0.0000  12 Cd 3.03
Cd2 0.0590 0.3012 0.6988  9 Cd 2.90-3.14
Cd3 0.0590 0.6988 0.9410  9 Cd 2.90-3.14
Cd4 0.0590 0.9410 0.3012  9 Cd 2.90-3.14
Cd5 0.1988 0.4410 0.8012  9 Cd 2.90-3.14
Cd6 0.1988 0.5590 0.4410  9 Cd 2.90-3.14
Cd7 0.1988 0.8012 0.5590  9 Cd 2.90-3.14
Cd8 0.3012 0.0590 0.9410  9 Cd 2.90-3.14
Cd9 0.3012 0.6988 0.0590  9 Cd 2.90-3.14
Cd10 0.3012 0.9410 0.6988  9 Cd 2.90-3.14
Cd11 0.4410 0.1988 0.5590  9 Cd 2.90-3.14
Cd12 0.4410 0.5590 0.8012  9 Cd 2.90-3.14
Cd13 0.4410 0.8012 0.1988  9 Cd 2.90-3.14
Cd14 0.5000 0.5000 0.5000  12 Cd 3.03
Cd15 0.5590 0.1988 0.8012  9 Cd 2.90-3.14
Cd16 0.5590 0.4410 0.1988  9 Cd 2.90-3.14
Cd17 0.5590 0.8012 0.4410  9 Cd 2.90-3.14
Cd18 0.6988 0.0590 0.3012  9 Cd 2.90-3.14
Cd19 0.6988 0.3012 0.9410  9 Cd 2.90-3.14
Cd20 0.6988 0.9410 0.0590  9 Cd 2.90-3.14
Cd21 0.8012 0.1988 0.4410  9 Cd 2.90-3.14
Cd22 0.8012 0.4410 0.5590  9 Cd 2.90-3.14
Cd23 0.8012 0.5590 0.1988  9 Cd 2.90-3.14
Cd24 0.9410 0.0590 0.6988  9 Cd 2.90-3.14
Cd25 0.9410 0.3012 0.0590  9 Cd 2.90-3.14
Cd26 0.9410 0.6988 0.3012  9 Cd 2.90-3.14


# 4
DFT (PBE) results for crystalline ErCl3 at its relaxed geometry.

Properties
The value obtained for the uncorrected energy is -4.737 eV/atom. The value obtained for the spin magnetization is 0.0 μB/f.u. The mass density comes out at 4.407 g/cm³. The space-group type is No. 62.

abc: 12.2091 3.6234 9.3210
angles: 90.00 90.00 90.00
Closest atoms and distances in Å follow each position.
Element x y z (fractional)
Er1 0.2267 0.2500 0.0368  6 Cl 2.62-2.70
Er2 0.2733 0.7500 0.5368  6 Cl 2.62-2.70
Er3 0.7267 0.2500 0.4632  6 Cl 2.62-2.70
Er4 0.7733 0.7500 0.9632  6 Cl 2.62-2.70
Cl1 0.1187 0.2500 0.5359  2 Er 2.62
Cl2 0.1223 0.7500 0.8766  2 Er 2.67
Cl3 0.1507 0.7500 0.2263  2 Er 2.70
Cl4 0.3493 0.2500 0.7263  2 Er 2.70
Cl5 0.3777 0.2500 0.3766  2 Er 2.67
Cl6 0.3813 0.7500 0.0359  2 Er 2.62
Cl7 0.6187 0.2500 0.9641  2 Er 2.62
Cl8 0.6223 0.7500 0.6234  2 Er 2.67
Cl9 0.6507 0.7500 0.2737  2 Er 2.70
Cl10 0.8493 0.2500 0.7737  2 Er 2.70
Cl11 0.8777 0.2500 0.1234  2 Er 2.67
Cl12 0.8813 0.7500 0.4641  2 Er 2.62


# 5
DFT (PBE) results for crystalline YLu2Fe9 at its relaxed geometry.

Properties
The value obtained for the uncorrected energy is -7.644 eV/atom. The value obtained for the spin magnetization is 15.6 μB/f.u. The mass density comes out at 8.967 g/cm³. The space-group type is No. 166.

abc: 8.4902 8.4902 8.4902
angles: 34.41 34.41 34.41
Closest atoms and distances in Å follow each position.
Element x y z (fractional)
Y1 0.0000 0.0000 0.0000  18 Fe 2.90-3.20
Lu1 0.1423 0.1423 0.1423  12 Fe 2.89-2.97, 3 Lu 3.13
Lu2 0.8577 0.8577 0.8577  12 Fe 2.89-2.97, 3 Lu 3.13
Fe1 0.0819 0.5832 0.5832  7 Fe 2.45-2.52
Fe2 0.3329 0.3329 0.3329  6 Fe 2.45-2.47
Fe3 0.4168 0.4168 0.9181  7 Fe 2.45-2.52
Fe4 0.4168 0.9181 0.4168  7 Fe 2.45-2.52
Fe5 0.5000 0.5000 0.5000  6 Fe 2.48
Fe6 0.5832 0.0819 0.5832  7 Fe 2.45-2.52
Fe7 0.5832 0.5832 0.0819  7 Fe 2.45-2.52
Fe8 0.6671 0.6671 0.6671  6 Fe 2.45-2.47
Fe9 0.9181 0.4168 0.4168  7 Fe 2.45-2.52


# 6
DFT (PBE) results for crystalline NaPaMo at its relaxed geometry.

Properties
Its distance to the lowest polymorph of the same formula is 414.8 meV per atom. The value obtained for the spin magnetization is 0.0 μB/f.u. The mass density comes out at 8.308 g/cm³. The space-group type is No. 216.

abc: 4.6248 4.6248 4.6248
angles: 60.00 60.00 60.00
Closest atoms and distances in Å follow each position.
Element x y z (fractional)
Na1 0.0000 0.0000 0.0000  4 Pa 2.83
Pa1 0.7500 0.7500 0.7500  4 Mo 2.83, 4 Na 2.83
Mo1 0.5000 0.5000 0.5000  4 Pa 2.83